1.
A relaxed Li3Hg crystal. Source: Alexandria via LeMat-Bulk, functional PBE.

abc: 8.0735 7.5884 4.7068
angles: 90.00 90.00 90.00
Last column: nearest neighbours and their distance in Å.
Sites, in units of the cell vectors:
Li (0.0000, 0.0871, 0.2500)  6 Li 2.70-2.90, 3 Hg 2.84-2.92
Li (0.0000, 0.9129, 0.7500)  6 Li 2.70-2.90, 3 Hg 2.84-2.92
Li (0.1959, 0.3843, 0.2500)  4 Li 2.75-2.94, 4 Hg 2.82-2.91
Li (0.1959, 0.6157, 0.7500)  4 Li 2.75-2.94, 4 Hg 2.82-2.91
Li (0.3041, 0.1157, 0.7500)  4 Li 2.75-2.94, 4 Hg 2.82-2.91
Li (0.3041, 0.8843, 0.2500)  4 Li 2.75-2.94, 4 Hg 2.82-2.91
Li (0.5000, 0.4129, 0.7500)  6 Li 2.70-2.90, 3 Hg 2.84-2.92
Li (0.5000, 0.5871, 0.2500)  6 Li 2.70-2.90, 3 Hg 2.84-2.92
Li (0.6959, 0.1157, 0.7500)  4 Li 2.75-2.94, 4 Hg 2.82-2.91
Li (0.6959, 0.8843, 0.2500)  4 Li 2.75-2.94, 4 Hg 2.82-2.91
Li (0.8041, 0.3843, 0.2500)  4 Li 2.75-2.94, 4 Hg 2.82-2.91
Li (0.8041, 0.6157, 0.7500)  4 Li 2.75-2.94, 4 Hg 2.82-2.91
Hg (0.0000, 0.2974, 0.7500)  11 Li 2.82-2.92
Hg (0.0000, 0.7026, 0.2500)  11 Li 2.82-2.92
Hg (0.5000, 0.2026, 0.2500)  11 Li 2.82-2.92
Hg (0.5000, 0.7974, 0.7500)  11 Li 2.82-2.92

Values from the calculation:
**Formation enthalpy at 0 K**: -0.2549 eV per atom
**Mass density**: 5.10 g/cm3
**Crystal system**: orthorhombic
**Space group**: Cmcm
**Energy**: -1.766 eV/atom
**N(E_F)**: 5.960 states/eV per cell

2.
A relaxed TiOsRu3 crystal. Source: Alexandria via LeMat-Bulk, functional PBE.

abc: 4.3934 4.3934 4.3934
angles: 90.00 90.00 90.00
Last column: nearest neighbours and their distance in Å.
Sites, in units of the cell vectors:
Ti (0.0000, 0.0000, 0.0000)  6 Ru 2.20
Os (0.5000, 0.5000, 0.5000)  12 Ru 3.11
Ru (0.0000, 0.0000, 0.5000)  2 Ti 2.20
Ru (0.0000, 0.5000, 0.0000)  2 Ti 2.20
Ru (0.5000, 0.0000, 0.0000)  2 Ti 2.20

Values from the calculation:
**Formation enthalpy at 0 K**: 1.5466 eV per atom
**Mass density**: 10.60 g/cm3
**Crystal system**: cubic
**Space group**: Pm-3m
**Energy**: -7.844 eV/atom
**N(E_F)**: 6.853 states/eV per cell

3.
A relaxed Pr4SnBr5 crystal. Source: Alexandria via LeMat-Bulk, functional PBE.

abc: 9.6453 9.6453 8.9903
angles: 100.65 100.65 25.76
Last column: nearest neighbours and their distance in Å.
Sites, in units of the cell vectors:
Pr (0.0021, 0.0021, 0.2403)  2 Sn 3.04, 4 Br 3.06-3.18
Pr (0.3368, 0.3368, 0.9304)  1 Sn 3.01, 5 Br 3.05-3.13
Pr (0.6632, 0.6632, 0.0696)  1 Sn 3.01, 5 Br 3.05-3.13
Pr (0.9979, 0.9979, 0.7597)  2 Sn 3.04, 4 Br 3.06-3.18
Sn (0.5000, 0.5000, 0.0000)  6 Pr 3.01-3.04
Br (0.1676, 0.1676, 0.3124)  3 Pr 3.05-3.06
Br (0.1684, 0.1684, 0.8232)  4 Pr 3.10-3.15
Br (0.5000, 0.5000, 0.5000)  4 Pr 3.18
Br (0.8316, 0.8316, 0.1768)  4 Pr 3.10-3.15
Br (0.8324, 0.8324, 0.6876)  3 Pr 3.05-3.06

Values from the calculation:
**Mass density**: 5.03 g/cm3
**Crystal system**: monoclinic
**Space group**: C2/m
**Energy**: -4.582 eV/atom
**N(E_F)**: 4.667 states/eV per cell
**Formation energy (no corrections)**: -1.4335 eV per atom

4.
A relaxed MgMoOs crystal. Source: Alexandria via LeMat-Bulk, functional PBE.

abc: 9.1631 3.0322 7.4158
angles: 90.00 90.00 90.00
Last column: nearest neighbours and their distance in Å.
Sites, in units of the cell vectors:
Mg (0.0780, 0.2500, 0.1520)  5 Os 2.82-2.93, 4 Mo 2.91-3.13, 4 Mg 3.03-3.07
Mg (0.4220, 0.7500, 0.6520)  5 Os 2.82-2.93, 4 Mo 2.91-3.13, 4 Mg 3.03-3.07
Mg (0.5780, 0.2500, 0.3480)  5 Os 2.82-2.93, 4 Mo 2.91-3.13, 4 Mg 3.03-3.07
Mg (0.9220, 0.7500, 0.8480)  5 Os 2.82-2.93, 4 Mo 2.91-3.13, 4 Mg 3.03-3.07
Mo (0.1262, 0.7500, 0.5095)  3 Os 2.52-2.53, 2 Mo 2.77
Mo (0.3738, 0.2500, 0.0095)  3 Os 2.52-2.53, 2 Mo 2.77
Mo (0.6262, 0.7500, 0.9905)  3 Os 2.52-2.53, 2 Mo 2.77
Mo (0.8738, 0.2500, 0.4905)  3 Os 2.52-2.53, 2 Mo 2.77
Os (0.1748, 0.2500, 0.7755)  3 Mo 2.52-2.53
Os (0.3252, 0.7500, 0.2755)  3 Mo 2.52-2.53
Os (0.6748, 0.2500, 0.7245)  3 Mo 2.52-2.53
Os (0.8252, 0.7500, 0.2245)  3 Mo 2.52-2.53

Values from the calculation:
**Formation enthalpy at 0 K**: 0.2435 eV per atom
**Mass density**: 10.01 g/cm3
**Crystal system**: orthorhombic
**Space group**: Pnma
**Energy**: -7.642 eV/atom
**N(E_F)**: 9.387 states/eV per cell

5.
A relaxed Nd2ZnIr2 crystal. Source: Alexandria via LeMat-Bulk, functional PBE.

abc: 5.7777 5.7777 8.0598
angles: 103.87 103.87 57.92
Last column: nearest neighbours and their distance in Å.
Sites, in units of the cell vectors:
Nd (0.0054, 0.7037, 0.8529)  6 Ir 2.97-3.30, 1 Zn 3.27
Nd (0.2963, 0.9946, 0.6471)  6 Ir 2.97-3.30, 1 Zn 3.27
Nd (0.7037, 0.0054, 0.3529)  6 Ir 2.97-3.30, 1 Zn 3.27
Nd (0.9946, 0.2963, 0.1471)  6 Ir 2.97-3.30, 1 Zn 3.27
Zn (0.3714, 0.6286, 0.2500)  4 Ir 2.64-2.70
Zn (0.6286, 0.3714, 0.7500)  4 Ir 2.64-2.70
Ir (0.2141, 0.5111, 0.4850)  1 Ir 2.61, 2 Zn 2.64-2.70
Ir (0.4889, 0.7859, 0.0150)  1 Ir 2.61, 2 Zn 2.64-2.70
Ir (0.5111, 0.2141, 0.9850)  1 Ir 2.61, 2 Zn 2.64-2.70
Ir (0.7859, 0.4889, 0.5150)  1 Ir 2.61, 2 Zn 2.64-2.70

Values from the calculation:
**Formation enthalpy at 0 K**: -0.6379 eV per atom
**Mass density**: 11.18 g/cm3
**Crystal system**: monoclinic
**Space group**: C2/c
**Energy**: -6.344 eV/atom
**N(E_F)**: 4.775 states/eV per cell

6.
A relaxed In6Sn5 crystal. Source: Alexandria via LeMat-Bulk, functional PBE.

abc: 6.6889 6.6889 9.0645
angles: 93.79 93.79 129.02
Last column: nearest neighbours and their distance in Å.
Sites, in units of the cell vectors:
In (0.0097, 0.0097, 0.1942)  5 Sn 3.16-3.19, 3 In 3.27-3.51
In (0.3344, 0.6282, 0.3068)  5 Sn 3.21-3.50, 3 In 3.27-3.55
In (0.3718, 0.6656, 0.6932)  5 Sn 3.21-3.50, 3 In 3.27-3.55
In (0.6282, 0.3344, 0.3068)  5 Sn 3.21-3.50, 3 In 3.27-3.55
In (0.6656, 0.3718, 0.6932)  5 Sn 3.21-3.50, 3 In 3.27-3.55
In (0.9903, 0.9903, 0.8058)  5 Sn 3.16-3.19, 3 In 3.27-3.51
Sn (0.1293, 0.8707, 0.5000)  1 Sn 3.12, 6 In 3.19-3.23
Sn (0.2173, 0.7827, 0.0000)  2 Sn 2.98, 4 In 3.16-3.24
Sn (0.5000, 0.5000, 0.0000)  8 In 3.18-3.55, 2 Sn 3.41
Sn (0.7827, 0.2173, 0.0000)  2 Sn 2.98, 4 In 3.16-3.24
Sn (0.8707, 0.1293, 0.5000)  1 Sn 3.12, 6 In 3.19-3.23

Values from the calculation:
**Formation enthalpy at 0 K**: 0.0657 eV per atom
**Mass density**: 6.84 g/cm3
**Crystal system**: monoclinic
**Space group**: C2/m
**Energy**: -3.248 eV/atom
**N(E_F)**: 5.499 states/eV per cell

7.
A relaxed Zn2CuRh3 crystal. Source: Alexandria via LeMat-Bulk, functional PBE.

abc: 6.7460 6.7460 6.0144
angles: 90.00 90.00 143.12
Last column: nearest neighbours and their distance in Å.
Sites, in units of the cell vectors:
Zn (0.0000, 0.0000, 0.0000)  8 Rh 2.61-2.63
Zn (0.0000, 0.0000, 0.5000)  8 Rh 2.61
Zn (0.3335, 0.6665, 0.0000)  8 Rh 2.61-2.62
Zn (0.6665, 0.3335, 0.0000)  8 Rh 2.61-2.62
Cu (0.3333, 0.6667, 0.5000)  8 Rh 2.59-2.61
Cu (0.6667, 0.3333, 0.5000)  8 Rh 2.59-2.61
Rh (0.1676, 0.8324, 0.2527)  3 Cu 2.59-2.60, 5 Zn 2.61-2.63
Rh (0.1676, 0.8324, 0.7473)  3 Cu 2.59-2.60, 5 Zn 2.61-2.63
Rh (0.5000, 0.5000, 0.2501)  6 Zn 2.61, 2 Cu 2.61
Rh (0.5000, 0.5000, 0.7499)  6 Zn 2.61, 2 Cu 2.61
Rh (0.8324, 0.1676, 0.2527)  3 Cu 2.59-2.60, 5 Zn 2.61-2.63
Rh (0.8324, 0.1676, 0.7473)  3 Cu 2.59-2.60, 5 Zn 2.61-2.63

Values from the calculation:
**Formation enthalpy at 0 K**: -0.1942 eV per atom
**Mass density**: 10.17 g/cm3
**Crystal system**: orthorhombic
**Space group**: Cmmm
**Energy**: -4.977 eV/atom
**N(E_F)**: 18.135 states/eV per cell

8.
A relaxed PmTlGe2 crystal. Source: Alexandria via LeMat-Bulk, functional PBE.

abc: 4.6517 4.6517 4.3139
angles: 90.00 90.00 90.00
Last column: nearest neighbours and their distance in Å.
Sites, in units of the cell vectors:
Pm (0.0000, 0.0000, 0.0000)  8 Ge 3.17, 4 Tl 3.29
Tl (0.5000, 0.5000, 0.0000)  8 Ge 3.17, 4 Pm 3.29
Ge (0.0000, 0.5000, 0.5000)  4 Tl 3.17, 4 Pm 3.17, 4 Ge 3.29
Ge (0.5000, 0.0000, 0.5000)  4 Tl 3.17, 4 Pm 3.17, 4 Ge 3.29

Values from the calculation:
**Formation enthalpy at 0 K**: -0.3382 eV per atom
**Mass density**: 8.80 g/cm3
**Crystal system**: tetragonal
**Space group**: P4/mmm
**Energy**: -4.426 eV/atom
**N(E_F)**: 1.785 states/eV per cell

9.
A relaxed CaFe2Os crystal. Source: Alexandria via LeMat-Bulk, functional PBE.

abc: 7.0272 7.0272 5.6621
angles: 90.00 90.00 90.00
Last column: nearest neighbours and their distance in Å.
Sites, in units of the cell vectors:
Ca (0.0000, 0.0000, 0.0000)  2 Os 2.83, 8 Fe 2.92-3.04
Ca (0.0000, 0.5000, 0.2500)  2 Os 2.83, 8 Fe 2.92-3.04
Ca (0.5000, 0.0000, 0.7500)  2 Os 2.83, 8 Fe 2.92-3.04
Ca (0.5000, 0.5000, 0.5000)  2 Os 2.83, 8 Fe 2.92-3.04
Fe (0.1834, 0.2500, 0.6250)  2 Os 2.29
Fe (0.2500, 0.6834, 0.8750)  2 Os 2.29
Fe (0.2500, 0.8166, 0.3750)  2 Os 2.29
Fe (0.3166, 0.2500, 0.1250)  2 Os 2.29
Fe (0.6834, 0.7500, 0.1250)  2 Os 2.29
Fe (0.7500, 0.1834, 0.3750)  2 Os 2.29
Fe (0.7500, 0.3166, 0.8750)  2 Os 2.29
Fe (0.8166, 0.7500, 0.6250)  2 Os 2.29
Os (0.0000, 0.0000, 0.5000)  4 Fe 2.29
Os (0.0000, 0.5000, 0.7500)  4 Fe 2.29
Os (0.5000, 0.0000, 0.2500)  4 Fe 2.29
Os (0.5000, 0.5000, 0.0000)  4 Fe 2.29

Values from the calculation:
**Formation enthalpy at 0 K**: 0.8618 eV per atom
**Mass density**: 8.12 g/cm3
**Crystal system**: tetragonal
**Space group**: I-42d
**Energy**: -6.677 eV/atom
**N(E_F)**: 13.667 states/eV per cell

10.
A relaxed Re2Ir3Rh2 crystal. Source: Alexandria via LeMat-Bulk, functional PBE.

abc: 4.1442 18.3282 2.7356
angles: 90.00 90.00 90.00
Last column: nearest neighbours and their distance in Å.
Sites, in units of the cell vectors:
Re (0.0000, 0.2102, 0.0000)  1 Rh 2.52, 4 Re 2.53-2.74, 4 Ir 2.69
Re (0.0000, 0.7898, 0.0000)  1 Rh 2.52, 4 Re 2.53-2.74, 4 Ir 2.69
Re (0.5000, 0.2898, 0.0000)  1 Rh 2.52, 4 Re 2.53-2.74, 4 Ir 2.69
Re (0.5000, 0.7102, 0.0000)  1 Rh 2.52, 4 Re 2.53-2.74, 4 Ir 2.69
Ir (0.0000, 0.3461, 0.5000)  6 Re 2.69-2.84, 3 Ir 2.74-2.82, 4 Rh 2.90
Ir (0.0000, 0.5000, 0.5000)  4 Ir 2.74-2.82, 8 Rh 2.82
Ir (0.0000, 0.6539, 0.5000)  6 Re 2.69-2.84, 3 Ir 2.74-2.82, 4 Rh 2.90
Ir (0.5000, 0.0000, 0.5000)  4 Ir 2.74-2.82, 8 Rh 2.82
Ir (0.5000, 0.1539, 0.5000)  6 Re 2.69-2.84, 3 Ir 2.74-2.82, 4 Rh 2.90
Ir (0.5000, 0.8461, 0.5000)  6 Re 2.69-2.84, 3 Ir 2.74-2.82, 4 Rh 2.90
Rh (0.0000, 0.0726, 0.0000)  1 Re 2.52, 3 Rh 2.66-2.74, 4 Ir 2.82
Rh (0.0000, 0.9274, 0.0000)  1 Re 2.52, 3 Rh 2.66-2.74, 4 Ir 2.82
Rh (0.5000, 0.4274, 0.0000)  1 Re 2.52, 3 Rh 2.66-2.74, 4 Ir 2.82
Rh (0.5000, 0.5726, 0.0000)  1 Re 2.52, 3 Rh 2.66-2.74, 4 Ir 2.82

Values from the calculation:
**Formation enthalpy at 0 K**: 0.0218 eV per atom
**Mass density**: 18.46 g/cm3
**Crystal system**: orthorhombic
**Space group**: Cmmm
**Energy**: -9.433 eV/atom
**N(E_F)**: 14.161 states/eV per cell

11.
A relaxed KMo2Au crystal. Source: Alexandria via LeMat-Bulk, functional PBE.

abc: 2.8468 2.8468 33.3034
angles: 90.00 90.00 120.00
Last column: nearest neighbours and their distance in Å.
Sites, in units of the cell vectors:
K (0.0000, 0.0000, 0.0000)  6 K 2.85
K (0.3333, 0.6667, 0.6667)  6 K 2.85
K (0.6667, 0.3333, 0.3333)  6 K 2.85
Mo (0.0000, 0.0000, 0.2382)  6 Mo 2.85, 3 Au 2.90
Mo (0.0000, 0.0000, 0.7618)  6 Mo 2.85, 3 Au 2.90
Mo (0.3333, 0.6667, 0.4284)  6 Mo 2.85, 3 Au 2.90
Mo (0.3333, 0.6667, 0.9049)  6 Mo 2.85, 3 Au 2.90
Mo (0.6667, 0.3333, 0.0951)  6 Mo 2.85, 3 Au 2.90
Mo (0.6667, 0.3333, 0.5716)  6 Mo 2.85, 3 Au 2.90
Au (0.0000, 0.0000, 0.5000)  6 Au 2.85, 6 Mo 2.90
Au (0.3333, 0.6667, 0.1667)  6 Au 2.85, 6 Mo 2.90
Au (0.6667, 0.3333, 0.8333)  6 Au 2.85, 6 Mo 2.90

Values from the calculation:
**Formation enthalpy at 0 K**: 0.9610 eV per atom
**Mass density**: 9.12 g/cm3
**Crystal system**: trigonal
**Space group**: R-3m
**Energy**: -5.548 eV/atom
**N(E_F)**: 9.440 states/eV per cell

12.
A relaxed Ti2Be9Os crystal. Source: Alexandria via LeMat-Bulk, functional PBE.

abc: 7.4294 7.4294 7.4294
angles: 34.24 34.24 34.24
Last column: nearest neighbours and their distance in Å.
Sites, in units of the cell vectors:
Ti (0.1427, 0.1427, 0.1427)  12 Be 2.55-2.64, 3 Ti 2.72
Ti (0.8573, 0.8573, 0.8573)  12 Be 2.55-2.64, 3 Ti 2.72
Be (0.0783, 0.5806, 0.5806)  7 Be 2.09-2.22
Be (0.3340, 0.3340, 0.3340)  6 Be 2.09-2.10
Be (0.4194, 0.4194, 0.9217)  7 Be 2.09-2.22
Be (0.4194, 0.9217, 0.4194)  7 Be 2.09-2.22
Be (0.5000, 0.5000, 0.5000)  6 Be 2.22
Be (0.5806, 0.0783, 0.5806)  7 Be 2.09-2.22
Be (0.5806, 0.5806, 0.0783)  7 Be 2.09-2.22
Be (0.6660, 0.6660, 0.6660)  6 Be 2.09-2.10
Be (0.9217, 0.4194, 0.4194)  7 Be 2.09-2.22
Os (0.0000, 0.0000, 0.0000)  18 Be 2.53-2.75

Values from the calculation:
**Formation enthalpy at 0 K**: -0.2130 eV per atom
**Mass density**: 5.27 g/cm3
**Crystal system**: trigonal
**Space group**: R-3m
**Energy**: -5.259 eV/atom
**N(E_F)**: 6.358 states/eV per cell